The following is a GGA-PBE calculation of a relaxed Tl3InHg crystal, from Alexandria via LeMat-Bulk.

Unit cell a=5.6267 b=6.6702 c=8.3444 alpha=90.00 beta=107.90 gamma=90.00
Sites, in units of the cell vectors:
Tl  0.1048  0.2500  0.1974
Tl  0.3049  0.5009  0.6154
Tl  0.3049  0.9991  0.6154
Tl  0.6951  0.0009  0.3846
Tl  0.6951  0.4991  0.3846
Tl  0.8952  0.7500  0.8026
In  0.1142  0.7500  0.2237
In  0.8858  0.2500  0.7763
Hg  0.4993  0.7500  0.0098
Hg  0.5007  0.2500  0.9902

Values from the calculation:
The value obtained for the density of states at the Fermi level is 4.46 states/eV per cell. The space-group type is No. 11. The energy of formation from the pure elements is 0.021 eV/atom. The calculated density is 10.3 g cm⁻³. The excess energy over the best structure of this formula in the dataset is 0.3 kJ per mole of atoms.